(P)
Below is a relaxed structure of Ce8RuPt2, with properties calculated at the GGA-PBE level.

The structure in POSCAR format:
```
Ce8RuPt2
1.0
-3.2901 1.0833 2.9770
2.9383 -3.6654 4.5811
5.6761 7.2677 0.1248
Ce Ru Pt
8 1 2
direct
0.4097 0.5447 0.8194 Ce
0.6568 0.9907 0.3137 Ce
0.7788 0.7488 0.5576 Ce
0.0088 0.2520 0.0175 Ce
0.2212 0.2512 0.4424 Ce
0.3432 0.0093 0.6863 Ce
0.5903 0.4553 0.1806 Ce
0.9912 0.7480 0.9825 Ce
0.5000 0.0000 0.0000 Ru
0.8350 0.3159 0.6700 Pt
0.1650 0.6841 0.3300 Pt
```

Values from the calculation:
- space group = C2/m
- magnetization (μB per cell) = 0.00


(Q)
Below is a relaxed structure of Ce8RuPt2, with properties calculated at the GGA-PBE level.

The structure in POSCAR format:
```
Ce8RuPt2
1.0
-2.1263 -0.2131 5.4254
-6.3912 0.2251 -4.9496
5.5286 -5.8790 -0.5177
Ce Ru Pt
8 1 2
direct
0.6459 0.3901 0.1464 Ce
0.6459 0.1464 0.3901 Ce
0.1315 0.3187 0.3187 Ce
0.9663 0.1775 0.7577 Ce
0.9663 0.7577 0.1775 Ce
0.7778 0.5978 0.5978 Ce
0.4652 0.9545 0.7449 Ce
0.4652 0.7449 0.9545 Ce
0.0862 0.9769 0.9769 Ru
0.4246 0.6838 0.2855 Pt
0.4246 0.2855 0.6838 Pt
```

Values from the calculation:
- space group = Cm
- magnetization (μB per cell) = 0.01


What should be chosen as the least stable of them? Choose (Q).


(P)
Below is a relaxed structure of CeRuPt, with properties calculated at the GGA-PBE level.

The structure in POSCAR format:
```
CeRuPt
1.0
-2.6255 -1.1670 2.5363
-0.0642 -3.9315 -1.8754
2.7799 0.8163 3.2533
Ru Ce Pt
1 1 1
direct
0.1666 0.3333 0.6667 Ru
0.6667 0.6667 0.3333 Ce
0.1666 0.0000 0.0000 Pt
```

Values from the calculation:
- space group = P-6m2
- magnetization (μB per cell) = 0.08


(Q)
Below is a relaxed structure of CeRuPt, with properties calculated at the GGA-PBE level.

The structure in POSCAR format:
```
CeRuPt
1.0
-2.5436 -2.3741 3.3785
0.8890 -6.6804 -2.4143
5.3891 -1.9829 4.2745
Pt Ce Ru
4 4 4
direct
0.4652 0.6919 0.9419 Pt
0.5348 0.8081 0.5581 Pt
0.5348 0.3081 0.0581 Pt
0.4652 0.1919 0.4419 Pt
0.0489 0.4925 0.7425 Ce
0.0489 0.9925 0.2424 Ce
0.9511 0.5075 0.2575 Ce
0.9511 0.0075 0.7576 Ce
0.6045 0.4269 0.6770 Ru
0.6045 0.9270 0.1769 Ru
0.3955 0.5731 0.3230 Ru
0.3955 0.0730 0.8231 Ru
```

Values from the calculation:
- space group = P2_1/m
- magnetization (μB per cell) = 0.00


(R)
Below is a relaxed structure of CeRuPt, with properties calculated at the GGA-PBE level.

The structure in POSCAR format:
```
CeRuPt
1.0
-0.7617 -4.9301 1.9035
4.3131 -3.0855 1.2231
1.2809 -1.0909 5.1758
Ce Ru Pt
2 2 2
direct
0.8768 0.3732 0.3732 Ce
0.1232 0.6268 0.6268 Ce
0.0000 0.0000 0.0000 Ru
0.5000 0.0000 0.0000 Ru
0.5000 0.5000 0.0000 Pt
0.5000 0.0000 0.5000 Pt
```

Values from the calculation:
- space group = Imma
- magnetization (μB per cell) = 0.00


What should be chosen as the least stable of them? Choose (P).


(P)
Below is a relaxed structure of Ce2PtS, with properties calculated at the GGA-PBE level.

The structure in POSCAR format:
```
Ce2PtS
1.0
-1.9498 0.7896 3.4124
-1.5764 -2.9958 2.1471
4.8823 -1.3417 5.4548
S Ce Pt
1 2 1
direct
0.0000 0.0000 0.0000 S
0.2500 0.2500 0.2499 Ce
0.7500 0.7500 0.7501 Ce
0.5000 0.5000 0.5000 Pt
```

Values from the calculation:
- space group = R-3m
- magnetization (μB per cell) = 1.73


(Q)
Below is a relaxed structure of Ce2PtS, with properties calculated at the GGA-PBE level.

The structure in POSCAR format:
```
Ce2PtS
1.0
4.0143 0.0000 0.0000
0.0000 5.7877 0.0000
0.0000 0.0000 8.4765
Ce Pt S
4 2 2
direct
0.0000 0.0000 0.8733 Ce
0.0000 0.0000 0.3687 Ce
0.5000 0.5000 0.6313 Ce
0.5000 0.5000 0.1267 Ce
0.5000 0.0000 0.6212 Pt
0.0000 0.5000 0.3788 Pt
0.0000 0.5000 0.8839 S
0.5000 0.0000 0.1161 S
```

Values from the calculation:
- space group = Pmmn
- magnetization (μB per cell) = 3.88


(R)
Below is a relaxed structure of Ce2PtS, with properties calculated at the GGA-PBE level.

The structure in POSCAR format:
```
Ce2PtS
1.0
-3.2920 -0.4950 2.1652
-0.6093 -3.4140 1.9350
2.1661 1.4182 7.2595
Ce Pt S
2 1 1
direct
0.0803 0.0803 0.7590 Ce
0.2531 0.2531 0.2408 Ce
0.6678 0.6678 0.9967 Pt
0.4989 0.4989 0.5034 S
```

Values from the calculation:
- space group = R3m
- magnetization (μB per cell) = 1.80


What should be chosen as the least stable of them? Choose (R).


(P)
Below is a relaxed structure of CeSc2Pt, with properties calculated at the GGA-PBE level.

The structure in POSCAR format:
```
CeSc2Pt
1.0
-3.4345 -1.5209 -2.8403
0.0998 -4.4032 -1.6668
-3.7923 -3.5899 2.6042
Ce Sc Pt
1 2 1
direct
0.4941 0.4941 0.5176 Ce
0.0481 0.0481 0.8556 Sc
0.2789 0.2789 0.1634 Sc
0.6789 0.6789 0.9634 Pt
```

Values from the calculation:
- space group = R3m
- magnetization (μB per cell) = 0.80


(Q)
Below is a relaxed structure of CeSc2Pt, with properties calculated at the GGA-PBE level.

The structure in POSCAR format:
```
CeSc2Pt
1.0
-2.5144 2.6940 2.5390
-4.4464 0.0425 -0.5047
-2.8049 -3.2349 4.5985
Sc Ce Pt
2 1 1
direct
0.2840 0.2840 0.1480 Sc
0.7160 0.7160 0.8520 Sc
0.5000 0.5000 0.5000 Ce
0.0000 0.0000 0.0000 Pt
```

Values from the calculation:
- space group = R-3m
- magnetization (μB per cell) = 1.83


(R)
Below is a relaxed structure of CeSc2Pt, with properties calculated at the GGA-PBE level.

The structure in POSCAR format:
```
CeSc2Pt
1.0
3.3209 0.0000 0.0000
0.0000 3.3209 0.0000
0.0000 0.0000 8.0547
Sc Ce Pt
2 1 1
direct
0.0000 0.0000 0.8031 Sc
0.0000 0.0000 0.1969 Sc
0.5000 0.5000 0.5000 Ce
0.5000 0.5000 0.0000 Pt
```

Values from the calculation:
- space group = P4/mmm
- magnetization (μB per cell) = 0.61


What should be chosen as the least stable of them? Choose (Q).


(P)
Below is a relaxed structure of Ce2PtSe, with properties calculated at the GGA-PBE level.

The structure in POSCAR format:
```
Ce2PtSe
1.0
-3.4053 -0.0317 -2.2821
-3.5505 -1.2373 1.6333
-3.7485 6.3719 1.8229
Se Ce Pt
1 2 1
direct
0.5000 0.5000 0.5000 Se
0.2552 0.2552 0.2343 Ce
0.7448 0.7448 0.7657 Ce
0.0000 0.0000 0.0000 Pt
```

Values from the calculation:
- space group = R-3m
- magnetization (μB per cell) = 1.89


(Q)
Below is a relaxed structure of Ce2PtSe, with properties calculated at the GGA-PBE level.

The structure in POSCAR format:
```
Ce2PtSe
1.0
4.3336 0.0000 0.0000
0.0000 3.9193 -0.6961
0.0000 0.0803 11.8337
Ce Pt Se
4 2 2
direct
0.7500 0.6818 0.3636 Ce
0.2500 0.3182 0.6364 Ce
0.7500 0.9369 0.8738 Ce
0.2500 0.0631 0.1262 Ce
0.2500 0.4535 0.9069 Pt
0.7500 0.5465 0.0931 Pt
0.2500 0.1901 0.3802 Se
0.7500 0.8099 0.6198 Se
```

Values from the calculation:
- space group = Cmcm
- magnetization (μB per cell) = 3.31


What should be chosen as the least stable of them? Choose (P).


(P)
Below is a relaxed structure of Ce2Si3Pt2, with properties calculated at the GGA-PBE level.

The structure in POSCAR format:
```
Ce2Si3Pt2
1.0
-3.8067 1.2193 -1.4959
-2.7172 -5.9835 2.0374
-0.0760 3.0086 8.7342
Ce Si Pt
4 6 4
direct
0.1531 0.2500 0.3063 Ce
0.8469 0.7500 0.6937 Ce
0.9451 0.2500 0.8902 Ce
0.0549 0.7500 0.1098 Ce
0.2236 0.7500 0.4472 Si
0.7764 0.2500 0.5528 Si
0.5586 0.4273 0.1171 Si
0.4414 0.5727 0.8829 Si
0.4414 0.9273 0.8829 Si
0.5586 0.0727 0.1171 Si
0.6900 0.9542 0.3800 Pt
0.3100 0.0458 0.6200 Pt
0.3100 0.4542 0.6200 Pt
0.6900 0.5458 0.3800 Pt
```

Values from the calculation:
- space group = Cmcm
- magnetization (μB per cell) = 0.86


(Q)
Below is a relaxed structure of Ce2Si3Pt2, with properties calculated at the GGA-PBE level.

The structure in POSCAR format:
```
Ce2Si3Pt2
1.0
4.2130 0.0000 0.0000
-2.1065 5.0530 0.0624
0.0000 -2.2477 6.1681
Ce Si Pt
2 3 2
direct
0.8439 0.6878 0.2084 Ce
0.1561 0.3122 0.7916 Ce
0.5000 0.0000 0.0000 Si
0.5998 0.1996 0.4385 Si
0.4002 0.8004 0.5615 Si
0.8563 0.7125 0.7266 Pt
0.1437 0.2875 0.2734 Pt
```

Values from the calculation:
- space group = C2/m
- magnetization (μB per cell) = 0.00


What should be chosen as the least stable of them? Choose (Q).


(P)
Below is a relaxed structure of Ce2SmPt, with properties calculated at the GGA-PBE level.

The structure in POSCAR format:
```
Ce2SmPt
1.0
3.8488 0.0000 0.0000
1.9244 3.3332 0.0000
1.9244 1.1111 9.3103
Ce Sm Pt
2 1 1
direct
0.0653 0.0653 0.8040 Ce
0.2685 0.2685 0.1945 Ce
0.4989 0.4989 0.5034 Sm
0.6673 0.6673 0.9981 Pt
```

Values from the calculation:
- space group = R3m
- magnetization (μB per cell) = 1.17


(Q)
Below is a relaxed structure of Ce2SmPt, with properties calculated at the GGA-PBE level.

The structure in POSCAR format:
```
Ce2SmPt
1.0
-0.5362 -3.0949 -1.9789
-1.5928 -2.9592 1.5774
-9.9264 1.4134 -3.0029
Ce Sm Pt
2 1 1
direct
0.1048 0.1048 0.6856 Ce
0.8952 0.8952 0.3144 Ce
0.0000 0.0000 0.0000 Sm
0.5000 0.5000 0.5000 Pt
```

Values from the calculation:
- space group = R-3m
- magnetization (μB per cell) = 2.31


What should be chosen as the least stable of them? Choose (Q).


(P)
Below is a relaxed structure of Ce2SmPt, with properties calculated at the GGA-PBE level.

The structure in POSCAR format:
```
Ce2SmPt
1.0
-5.5003 2.2529 1.0208
-3.1553 -9.1551 3.2038
3.8221 3.3231 13.2604
Ce Sm Pt
16 8 8
direct
0.0623 0.0535 0.2129 Ce
0.5623 0.9465 0.2871 Ce
0.9377 0.5535 0.7871 Ce
0.4377 0.4465 0.7129 Ce
0.9377 0.9465 0.7871 Ce
0.4377 0.0535 0.7129 Ce
0.0623 0.4465 0.2129 Ce
0.5623 0.5535 0.2871 Ce
0.7465 0.5480 0.0351 Ce
0.2465 0.4520 0.4649 Ce
0.2535 0.0480 0.9649 Ce
0.7535 0.9520 0.5351 Ce
0.2535 0.4520 0.9649 Ce
0.7535 0.5480 0.5351 Ce
0.7465 0.9520 0.0351 Ce
0.2465 0.0480 0.4649 Ce
0.5479 0.2500 0.1413 Sm
0.0479 0.7500 0.3587 Sm
0.4521 0.7500 0.8587 Sm
0.9521 0.2500 0.6413 Sm
0.7630 0.2500 0.3948 Sm
0.2630 0.7500 0.1052 Sm
0.2370 0.7500 0.6052 Sm
0.7370 0.2500 0.8948 Sm
0.2802 0.2500 0.3237 Pt
0.7802 0.7500 0.1763 Pt
0.7198 0.7500 0.6763 Pt
0.2198 0.2500 0.8237 Pt
0.0221 0.2500 0.0687 Pt
0.5221 0.7500 0.4313 Pt
0.9779 0.7500 0.9313 Pt
0.4779 0.2500 0.5687 Pt
```

Values from the calculation:
- space group = Pnma
- magnetization (μB per cell) = 8.47


(Q)
Below is a relaxed structure of Ce2SmPt, with properties calculated at the GGA-PBE level.

The structure in POSCAR format:
```
Ce2SmPt
1.0
3.7380 0.0000 0.0000
0.0000 3.7380 0.0000
0.0000 0.0000 7.7442
Ce Sm Pt
2 1 1
direct
0.0000 0.0000 0.8066 Ce
0.0000 0.0000 0.1934 Ce
0.5000 0.5000 0.5000 Sm
0.5000 0.5000 0.0000 Pt
```

Values from the calculation:
- space group = P4/mmm
- magnetization (μB per cell) = 0.73


What should be chosen as the least stable of them? Choose (Q).